## In2PbCl (PBE)

Data for In2PbCl after structural relaxation.

Cell: 3.4924 3.4924 9.1512 Å, 90.00 90.00 90.00°
With the nearest neighbours (Å) after each atom.
Fractional coordinates of all 4 atoms:
In  0.0000  0.0000  0.0000  4 Cl 3.10, 4 In 3.43
In  0.5000  0.5000  0.2606  4 Pb 3.40, 8 In 3.43-3.49
Pb  0.0000  0.0000  0.5152  4 In 3.40, 4 Pb 3.49, 4 Cl 3.56
Cl  0.5000  0.5000  0.7952  4 In 3.10

Results
The polymorph energy (0 for the lowest one) comes out at 60 meV per atom. The density of states at the Fermi level comes out at 1.42 states/eV/cell. Its uncorrected formation energy is -260 meV per atom.